(1)
The following is a PBE calculation of PrY4Sn4 after structural relaxation, from the Alexandria database.

Calculated values
Calculated formation energy in eV per atom: -0.473

Structure (CIF):
```
data_PrY4Sn4
_cell_length_a 9.918
_cell_length_b 9.918
_cell_length_c 6.141
_cell_angle_alpha 90.00
_cell_angle_beta 90.00
_cell_angle_gamma 90.00
_symmetry_space_group_name_H-M 'P 42/n'
_symmetry_Int_Tables_number 86
loop_
_symmetry_equiv_pos_as_xyz
'x,y,z'
'-x,-y,-z'
'-y,x+1/2,z+1/2'
'y,-x+1/2,-z+1/2'
'-x+1/2,-y+1/2,z'
'x+1/2,y+1/2,-z'
'y+1/2,-x,z+1/2'
'-y+1/2,x,-z+1/2'
loop_
_atom_site_label
_atom_site_type_symbol
_atom_site_fract_x
_atom_site_fract_y
_atom_site_fract_z
Pr1 Pr 0.250 0.250 0.250
Y1 Y 0.096 0.646 0.141
Sn1 Sn 0.039 0.611 0.651
```

***

(2)
The following is a PBE calculation of Pr5YSn5 after structural relaxation, from the Alexandria database.

Calculated values
Calculated formation energy in eV per atom: -0.486

Structure (CIF):
```
data_Pr5YSn5
_cell_length_a 14.701
_cell_length_b 6.374
_cell_length_c 8.641
_cell_angle_alpha 90.00
_cell_angle_beta 107.44
_cell_angle_gamma 90.00
_symmetry_space_group_name_H-M 'C 1 2/m 1'
_symmetry_Int_Tables_number 12
loop_
_symmetry_equiv_pos_as_xyz
'x,y,z'
'-x,-y,-z'
'-x,y,-z'
'x,-y,z'
'x+1/2,y+1/2,z'
'-x+1/2,-y+1/2,-z'
'-x+1/2,y+1/2,-z'
'x+1/2,-y+1/2,z'
loop_
_atom_site_label
_atom_site_type_symbol
_atom_site_fract_x
_atom_site_fract_y
_atom_site_fract_z
Pr1 Pr 0.000 0.000 0.000
Pr2 Pr 0.166 0.500 0.331
Pr3 Pr 0.171 0.500 0.832
Y1 Y 0.000 0.000 0.500
Sn1 Sn 0.000 0.500 0.500
Sn2 Sn 0.162 0.000 0.336
Sn3 Sn 0.163 0.000 0.830
```

***

(3)
The following is a PBE calculation of Pr3YSn12 after structural relaxation, from the Alexandria database.

Calculated values
Calculated formation energy in eV per atom: -0.490

Structure (CIF):
```
data_Pr3YSn12
_cell_length_a 4.791
_cell_length_b 4.791
_cell_length_c 18.943
_cell_angle_alpha 90.00
_cell_angle_beta 90.00
_cell_angle_gamma 90.00
_symmetry_space_group_name_H-M 'P 4/m m m'
_symmetry_Int_Tables_number 123
_symmetry_space_group_name_Hall '-P 4 2'
loop_
_atom_site_label
_atom_site_type_symbol
_atom_site_fract_x
_atom_site_fract_y
_atom_site_fract_z
Pr1 Pr 0.000 0.000 0.000
Pr2 Pr 0.000 0.000 0.252
Y1 Y 0.000 0.000 0.500
Sn1 Sn 0.000 0.500 0.126
Sn2 Sn 0.000 0.500 0.379
Sn3 Sn 0.500 0.500 0.000
Sn4 Sn 0.500 0.500 0.253
Sn5 Sn 0.500 0.500 0.500
```

***

(4)
The following is a PBE calculation of PrY2Zn2Sn2 after structural relaxation, from the Alexandria database.

Calculated values
Calculated formation energy in eV per atom: -0.370

Structure (CIF):
```
data_PrY2Zn2Sn2
_cell_length_a 4.6519
_cell_length_b 4.6519
_cell_length_c 28.8027
_cell_angle_alpha 90.00
_cell_angle_beta 90.00
_cell_angle_gamma 120.00
_symmetry_space_group_name_H-M 'R -3 m'
_symmetry_Int_Tables_number 166
_symmetry_space_group_name_Hall '-R 3 2"'
loop_
_atom_site_label
_atom_site_type_symbol
_atom_site_fract_x
_atom_site_fract_y
_atom_site_fract_z
Pr1 Pr 0.0000 0.0000 0.0000
Y1 Y 0.0000 0.0000 0.1314
Zn1 Zn 0.0000 0.0000 0.4192
Sn1 Sn 0.0000 0.0000 0.2646
```

***

(5)
The following is a PBE calculation of PrZn2Sn after structural relaxation, from the Alexandria database.

Calculated values
Offset from the most stable computed form in meV per atom: 0
Calculated formation energy in eV per atom: -0.372

Structure (CIF):
```
data_PrZn2Sn
_cell_length_a 4.491
_cell_length_b 4.491
_cell_length_c 4.522
_cell_angle_alpha 90.00
_cell_angle_beta 90.00
_cell_angle_gamma 90.00
_symmetry_space_group_name_H-M 'P 4/m m m'
_symmetry_Int_Tables_number 123
_symmetry_space_group_name_Hall '-P 4 2'
loop_
_atom_site_label
_atom_site_type_symbol
_atom_site_fract_x
_atom_site_fract_y
_atom_site_fract_z
Pr1 Pr 0.000 0.000 0.000
Zn1 Zn 0.000 0.500 0.500
Sn1 Sn 0.500 0.500 0.000
```

***

(6)
The following is a PBE calculation of Pr5Zn2Sn5 after structural relaxation, from the Alexandria database.

Calculated values
Calculated formation energy in eV per atom: -0.656

Structure (CIF):
```
data_Pr5Zn2Sn5
_cell_length_a 16.394
_cell_length_b 4.653
_cell_length_c 11.401
_cell_angle_alpha 90.00
_cell_angle_beta 129.59
_cell_angle_gamma 90.00
_symmetry_space_group_name_H-M 'C 1 2/m 1'
_symmetry_Int_Tables_number 12
loop_
_symmetry_equiv_pos_as_xyz
'x,y,z'
'-x,-y,-z'
'-x,y,-z'
'x,-y,z'
'x+1/2,y+1/2,z'
'-x+1/2,-y+1/2,-z'
'-x+1/2,y+1/2,-z'
'x+1/2,-y+1/2,z'
loop_
_atom_site_label
_atom_site_type_symbol
_atom_site_fract_x
_atom_site_fract_y
_atom_site_fract_z
Pr1 Pr 0.000 0.000 0.000
Pr2 Pr 0.107 0.000 0.417
Pr3 Pr 0.193 0.000 0.825
Zn1 Zn 0.141 0.500 0.240
Sn1 Sn 0.000 0.500 0.500
Sn2 Sn 0.063 0.500 0.859
Sn3 Sn 0.245 0.500 0.680
```

***

(7)
The following is a PBE calculation of Pr4Zn3Sn after structural relaxation, from the Alexandria database.

Calculated values
Calculated formation energy in eV per atom: -0.406

Structure (CIF):
```
data_Pr4Zn3Sn
_cell_length_a 5.3097
_cell_length_b 5.3097
_cell_length_c 26.3691
_cell_angle_alpha 90.00
_cell_angle_beta 90.00
_cell_angle_gamma 120.00
_symmetry_space_group_name_H-M 'R -3 m'
_symmetry_Int_Tables_number 166
_symmetry_space_group_name_Hall '-R 3 2"'
loop_
_atom_site_label
_atom_site_type_symbol
_atom_site_fract_x
_atom_site_fract_y
_atom_site_fract_z
Pr1 Pr 0.0000 0.0000 0.1214
Pr2 Pr 0.0000 0.0000 0.3709
Zn1 Zn 0.0000 0.0000 0.0000
Zn2 Zn 0.0000 0.0000 0.2525
Sn1 Sn 0.0000 0.0000 0.5000
```

***

(8)
The following is a PBE calculation of Pr12ZnSn3 after structural relaxation, from the Alexandria database.

Calculated values
Calculated formation energy in eV per atom: -0.350

Structure (CIF):
```
data_Pr12ZnSn3
_cell_length_a 4.991
_cell_length_b 4.991
_cell_length_c 19.788
_cell_angle_alpha 90.00
_cell_angle_beta 90.00
_cell_angle_gamma 90.00
_symmetry_space_group_name_H-M 'P 4/m m m'
_symmetry_Int_Tables_number 123
_symmetry_space_group_name_Hall '-P 4 2'
loop_
_atom_site_label
_atom_site_type_symbol
_atom_site_fract_x
_atom_site_fract_y
_atom_site_fract_z
Pr1 Pr 0.000 0.000 0.000
Pr2 Pr 0.000 0.000 0.248
Pr3 Pr 0.000 0.000 0.500
Pr4 Pr 0.000 0.500 0.123
Pr5 Pr 0.000 0.500 0.374
Zn1 Zn 0.500 0.500 0.000
Sn1 Sn 0.500 0.500 0.247
Sn2 Sn 0.500 0.500 0.500
```

***

(9)
The following is a PBE calculation of PrZnSn2 after structural relaxation, from the Alexandria database.

Calculated values
Calculated formation energy in eV per atom: 0.251

Structure (CIF):
```
data_PrZnSn2
_cell_length_a 5.3420
_cell_length_b 5.3420
_cell_length_c 21.1546
_cell_angle_alpha 90.00
_cell_angle_beta 90.00
_cell_angle_gamma 120.00
_symmetry_space_group_name_H-M 'R -3 m'
_symmetry_Int_Tables_number 166
_symmetry_space_group_name_Hall '-R 3 2"'
loop_
_atom_site_label
_atom_site_type_symbol
_atom_site_fract_x
_atom_site_fract_y
_atom_site_fract_z
Pr1 Pr 0.0000 0.0000 0.0000
Zn1 Zn 0.0000 0.0000 0.5000
Sn1 Sn 0.0000 0.0000 0.3753
```

***

(10)
The following is a PBE calculation of Pr3Zn4Sn after structural relaxation, from the Alexandria database.

Calculated values
Calculated formation energy in eV per atom: -0.202

Structure (CIF):
```
data_Pr3Zn4Sn
_cell_length_a 3.949
_cell_length_b 6.867
_cell_length_c 15.461
_cell_angle_alpha 90.00
_cell_angle_beta 90.00
_cell_angle_gamma 90.00
_symmetry_space_group_name_H-M 'I m m m'
_symmetry_Int_Tables_number 71
_symmetry_space_group_name_Hall '-I 2 2'
loop_
_atom_site_label
_atom_site_type_symbol
_atom_site_fract_x
_atom_site_fract_y
_atom_site_fract_z
Pr1 Pr 0.000 0.000 0.000
Pr2 Pr 0.000 0.500 0.193
Zn1 Zn 0.000 0.311 0.370
Sn1 Sn 0.000 0.000 0.500
```

***

(11)
The following is a PBE calculation of PrZnSn2 after structural relaxation, from the Alexandria database.

Calculated values
Calculated formation energy in eV per atom: -0.458

Structure (CIF):
```
data_PrZnSn2
_cell_length_a 4.673
_cell_length_b 4.673
_cell_length_c 4.585
_cell_angle_alpha 90.00
_cell_angle_beta 90.00
_cell_angle_gamma 90.00
_symmetry_space_group_name_H-M 'P 4/m m m'
_symmetry_Int_Tables_number 123
_symmetry_space_group_name_Hall '-P 4 2'
loop_
_atom_site_label
_atom_site_type_symbol
_atom_site_fract_x
_atom_site_fract_y
_atom_site_fract_z
Pr1 Pr 0.000 0.000 0.000
Zn1 Zn 0.500 0.500 0.000
Sn1 Sn 0.000 0.500 0.500
```

***

(12)
The following is a PBE calculation of Pr3ZnSn after structural relaxation, from the Alexandria database.

Calculated values
Calculated formation energy in eV per atom: -0.381

Structure (CIF):
```
data_Pr3ZnSn
_cell_length_a 14.932
_cell_length_b 4.522
_cell_length_c 9.049
_cell_angle_alpha 90.00
_cell_angle_beta 91.19
_cell_angle_gamma 90.00
_symmetry_space_group_name_H-M 'C 1 2/m 1'
_symmetry_Int_Tables_number 12
loop_
_symmetry_equiv_pos_as_xyz
'x,y,z'
'-x,-y,-z'
'-x,y,-z'
'x,-y,z'
'x+1/2,y+1/2,z'
'-x+1/2,-y+1/2,-z'
'-x+1/2,y+1/2,-z'
'x+1/2,-y+1/2,z'
loop_
_atom_site_label
_atom_site_type_symbol
_atom_site_fract_x
_atom_site_fract_y
_atom_site_fract_z
Pr1 Pr 0.050 0.000 0.296
Pr2 Pr 0.097 0.500 0.920
Pr3 Pr 0.238 0.000 0.689
Zn1 Zn 0.208 0.000 0.060
Sn1 Sn 0.098 0.500 0.556
```